*i*
# Na3AlCd | the Alexandria database | PBE | optimized geometry
# Density of states at the Fermi level: 3.17 states/eV/cell
data_Na3AlCd
_chemical_formula_sum 'Na3 Al1 Cd1'
_space_group_name_H-M_alt 'P m -3 m'
_space_group_IT_number 221
_space_group_name_Hall '-P 4 2 3'
_cell_length_a 5.809
_cell_length_b 5.809
_cell_length_c 5.809
_cell_angle_alpha 90.00
_cell_angle_beta 90.00
_cell_angle_gamma 90.00
loop_
_atom_site_label
_atom_site_type_symbol
_atom_site_fract_x
_atom_site_fract_y
_atom_site_fract_z
_atom_site_occupancy
Na1 Na 0.000 0.000 0.500 1
Al1 Al 0.000 0.000 0.000 1
Cd1 Cd 0.500 0.500 0.500 1

***

*ii*
# Na3AlCd | the Alexandria database | PBE | optimized geometry
# Density of states at the Fermi level: 2.52 states/eV/cell
data_Na3AlCd
_chemical_formula_sum 'Na3 Al1 Cd1'
_space_group_name_H-M_alt 'P m -3 m'
_space_group_IT_number 221
_space_group_name_Hall '-P 4 2 3'
_cell_length_a 5.704
_cell_length_b 5.704
_cell_length_c 5.704
_cell_angle_alpha 90.00
_cell_angle_beta 90.00
_cell_angle_gamma 90.00
loop_
_atom_site_label
_atom_site_type_symbol
_atom_site_fract_x
_atom_site_fract_y
_atom_site_fract_z
_atom_site_occupancy
Na1 Na 0.000 0.000 0.500 1
Al1 Al 0.500 0.500 0.500 1
Cd1 Cd 0.000 0.000 0.000 1

***

Most stable one: *i*, least stable one: *ii*.

***

*i*
# NbAl2Cd2 | the Alexandria database | PBE | optimized geometry
# Density of states at the Fermi level: 4.26 states/eV/cell
data_NbAl2Cd2
_chemical_formula_sum 'Nb2 Al4 Cd4'
_space_group_name_H-M_alt 'P 4/m b m'
_space_group_IT_number 127
_space_group_name_Hall '-P 4 2ab'
_cell_length_a 7.549
_cell_length_b 7.549
_cell_length_c 3.310
_cell_angle_alpha 90.00
_cell_angle_beta 90.00
_cell_angle_gamma 90.00
loop_
_atom_site_label
_atom_site_type_symbol
_atom_site_fract_x
_atom_site_fract_y
_atom_site_fract_z
_atom_site_occupancy
Nb1 Nb 0.000 0.000 0.000 1
Al1 Al 0.141 0.359 0.000 1
Cd1 Cd 0.160 0.660 0.500 1

***

*ii*
# NbAl2Cd2 | the Alexandria database | PBE | optimized geometry
# Density of states at the Fermi level: 8.15 states/eV/cell
data_NbAl2Cd2
_chemical_formula_sum 'Nb2 Al4 Cd4'
_space_group_name_H-M_alt 'I 4/m m m'
_space_group_IT_number 139
_space_group_name_Hall '-I 4 2'
_cell_length_a 3.937
_cell_length_b 3.937
_cell_length_c 12.524
_cell_angle_alpha 90.00
_cell_angle_beta 90.00
_cell_angle_gamma 90.00
loop_
_atom_site_label
_atom_site_type_symbol
_atom_site_fract_x
_atom_site_fract_y
_atom_site_fract_z
_atom_site_occupancy
Nb1 Nb 0.000 0.000 0.000 1
Al1 Al 0.000 0.000 0.405 1
Cd1 Cd 0.000 0.500 0.250 1

***

Most stable one: *i*, least stable one: *ii*.

***

*i*
# NbAlCd3 | the Alexandria database | PBE | optimized geometry
# Density of states at the Fermi level: 3.20 states/eV/cell
data_NbAlCd3
_chemical_formula_sum 'Nb1 Al1 Cd3'
_space_group_name_H-M_alt 'P m -3 m'
_space_group_IT_number 221
_space_group_name_Hall '-P 4 2 3'
_cell_length_a 4.929
_cell_length_b 4.929
_cell_length_c 4.929
_cell_angle_alpha 90.00
_cell_angle_beta 90.00
_cell_angle_gamma 90.00
loop_
_atom_site_label
_atom_site_type_symbol
_atom_site_fract_x
_atom_site_fract_y
_atom_site_fract_z
_atom_site_occupancy
Nb1 Nb 0.000 0.000 0.000 1
Al1 Al 0.500 0.500 0.500 1
Cd1 Cd 0.000 0.500 0.500 1

***

*ii*
# NbAlCd3 | the Alexandria database | PBE | optimized geometry
# Density of states at the Fermi level: 5.16 states/eV/cell
data_NbAlCd3
_chemical_formula_sum 'Nb1 Al1 Cd3'
_space_group_name_H-M_alt 'P m -3 m'
_space_group_IT_number 221
_space_group_name_Hall '-P 4 2 3'
_cell_length_a 5.519
_cell_length_b 5.519
_cell_length_c 5.519
_cell_angle_alpha 90.00
_cell_angle_beta 90.00
_cell_angle_gamma 90.00
loop_
_atom_site_label
_atom_site_type_symbol
_atom_site_fract_x
_atom_site_fract_y
_atom_site_fract_z
_atom_site_occupancy
Nb1 Nb 0.000 0.000 0.000 1
Al1 Al 0.500 0.500 0.500 1
Cd1 Cd 0.000 0.000 0.500 1

***

Most stable one: *i*, least stable one: *ii*.